# HoTh4In15

HoTh4In15 after structural relaxation (GGA-PBE, the Alexandria database).

Cell: 4.722 4.722 23.580 Å, 90.00 90.00 90.00°
Positions (direct):
In (0.500, 0.000, 0.298)
Th (0.000, 0.000, 0.803)
In (0.500, 0.500, 0.197)
In (0.000, 0.500, 0.702)
In (0.500, 0.000, 0.096)
In (0.000, 0.500, 0.096)
Ho (0.000, 0.000, 0.000)
In (0.500, 0.500, 0.601)
Th (0.000, 0.000, 0.601)
In (0.500, 0.500, 0.803)
In (0.000, 0.500, 0.904)
In (0.500, 0.000, 0.702)
In (0.000, 0.500, 0.500)
Th (0.000, 0.000, 0.197)
In (0.500, 0.000, 0.904)
In (0.500, 0.500, 0.000)
Th (0.000, 0.000, 0.399)
In (0.500, 0.000, 0.500)
In (0.500, 0.500, 0.399)
In (0.000, 0.500, 0.298)

For the formation energy, the calculation gives -0.355 eV/atom.